Entry from the Alexandria database: Nb2Ga2Hg after structural relaxation (PBE).

Relative energy among the computed polymorphs   0.14 eV/f.u.
ΔE_f   0.154 eV per formula unit
Space-group type   P4/mbm

Unit cell a=7.784 b=7.784 c=3.126 alpha=90.00 beta=90.00 gamma=90.00
Atoms (fractional coordinates):
1 Hg 0.500 0.500 0.000
2 Hg 0.000 0.000 0.000
3 Ga 0.324 0.176 0.500
4 Ga 0.676 0.824 0.500
5 Ga 0.176 0.676 0.500
6 Ga 0.824 0.324 0.500
7 Nb 0.879 0.621 0.000
8 Nb 0.379 0.879 0.000
9 Nb 0.621 0.121 0.000
10 Nb 0.121 0.379 0.000